# 1
MoAs2Pb after structural relaxation, computed with PBE.

Total energy in eV/cell: -23.7
Total moment in μB per cell: 0.00
Formation energy in eV per atom: 0.04
SG: Cm (8)

Lattice parameters (Å, degrees): 4.709 4.709 6.591 106.34 106.34 41.49
Fractional positions:
Mo (0.000, 0.000, 0.000)
As (0.551, 0.551, 0.297)
As (0.705, 0.705, 0.963)
Pb (0.364, 0.364, 0.596)

***

# 2
MoAs2Pb after structural relaxation, computed with PBE.

Total energy in eV/cell: -21.5
Total moment in μB per cell: 1.42
Formation energy in eV per atom: 0.58
SG: Cmmm (65)

Lattice parameters (Å, degrees): 4.883 4.883 3.505 90.00 90.00 105.36
Fractional positions:
Mo (0.000, 0.000, 0.000)
As (0.000, 0.500, 0.500)
As (0.500, 0.000, 0.500)
Pb (0.500, 0.500, 0.000)

***

# 3
MoAs2Pb after structural relaxation, computed with PBE.

Total energy in eV/cell: -21.3
Total moment in μB per cell: 1.89
Formation energy in eV per atom: 0.64
SG: I-4m2 (119)

Lattice parameters (Å, degrees): 5.512 5.512 5.512 135.15 135.15 65.29
Fractional positions:
Mo (0.000, 0.000, 0.000)
As (0.500, 0.500, 0.000)
As (0.750, 0.250, 0.500)
Pb (0.250, 0.750, 0.500)

***

# 4
Mo2AsPb after structural relaxation, computed with PBE.

Total energy in eV/cell: -27.1
Total moment in μB per cell: 0.00
Formation energy in eV per atom: 0.73
SG: C2/m (12)

Lattice parameters (Å, degrees): 5.306 5.306 3.163 104.67 104.67 110.93
Fractional positions:
Mo (0.000, 0.500, 0.000)
Mo (0.500, 0.000, 0.000)
As (0.000, 0.000, 0.500)
Pb (0.500, 0.500, 0.500)

***

# 5
MoAs2Pb after structural relaxation, computed with PBE.

Total energy in eV/cell: -22.6
Total moment in μB per cell: 0.00
Formation energy in eV per atom: 0.31
SG: Pm (6)

Lattice parameters (Å, degrees): 3.697 4.595 5.194 90.00 110.53 90.00
Fractional positions:
Mo (0.000, 0.000, 0.000)
As (0.304, 0.000, 0.602)
As (0.883, 0.500, 0.755)
Pb (0.602, 0.500, 0.203)

***

# 6
Mo2AsPb after structural relaxation, computed with PBE.

Total energy in eV/cell: -28.1
Total moment in μB per cell: 0.00
Formation energy in eV per atom: 0.48
SG: P2/m (10)

Lattice parameters (Å, degrees): 3.186 3.820 6.234 90.00 98.83 90.00
Fractional positions:
Mo (0.137, 0.000, 0.301)
Mo (0.863, 0.000, 0.699)
As (0.500, 0.500, 0.500)
Pb (0.500, 0.500, 0.000)

***

# 7
Mo2AsPb after structural relaxation, computed with PBE.

Total energy in eV/cell: -28.6
Total moment in μB per cell: 0.00
Formation energy in eV per atom: 0.34
SG: P4/mmm (123)

Lattice parameters (Å, degrees): 3.228 3.228 6.931 90.00 90.00 90.00
Fractional positions:
Mo (0.000, 0.000, 0.196)
Mo (0.000, 0.000, 0.804)
As (0.500, 0.500, 0.000)
Pb (0.500, 0.500, 0.500)

***

# 8
MoAs2Pb after structural relaxation, computed with PBE.

Total energy in eV/cell: -22.0
Total moment in μB per cell: 0.00
Formation energy in eV per atom: 0.47
SG: Cmm2 (35)

Lattice parameters (Å, degrees): 3.024 3.024 9.753 90.00 90.00 105.66
Fractional positions:
Mo (0.000, 0.000, 0.000)
As (0.000, 0.000, 0.480)
As (0.500, 0.500, 0.179)
Pb (0.500, 0.500, 0.747)

***

# 9
MoAs2Pb after structural relaxation, computed with PBE.

Total energy in eV/cell: -20.8
Total moment in μB per cell: 0.51
Formation energy in eV per atom: 0.76
SG: F-43m (216)

Lattice parameters (Å, degrees): 4.822 4.822 4.822 60.00 60.00 60.00
Fractional positions:
Mo (0.000, 0.000, 0.000)
As (0.500, 0.500, 0.500)
As (0.750, 0.750, 0.750)
Pb (0.250, 0.250, 0.250)

***

# 10
MoAs2Pb2 after structural relaxation, computed with PBE.

Total energy in eV/cell: -24.5
Total moment in μB per cell: 0.69
Formation energy in eV per atom: 0.61
SG: I4/mmm (139)

Lattice parameters (Å, degrees): 9.526 9.526 9.526 158.20 158.20 31.02
Fractional positions:
Mo (0.000, 0.000, 0.000)
As (0.250, 0.750, 0.500)
As (0.750, 0.250, 0.500)
Pb (0.412, 0.412, 0.000)
Pb (0.588, 0.588, 0.000)

***

# 11
MoAs2Pb after structural relaxation, computed with PBE.

Total energy in eV/cell: -45.4
Total moment in μB per cell: 0.00
Formation energy in eV per atom: 0.29
SG: I-42d (122)

Lattice parameters (Å, degrees): 7.613 7.613 7.613 133.16 133.16 68.40
Fractional positions:
Mo (0.000, 0.000, 0.000)
Mo (0.750, 0.250, 0.500)
As (0.048, 0.625, 0.923)
As (0.375, 0.298, 0.423)
As (0.702, 0.125, 0.077)
As (0.875, 0.952, 0.577)
Pb (0.250, 0.750, 0.500)
Pb (0.500, 0.500, 0.000)

***

# 12
MoAs2Pb after structural relaxation, computed with PBE.

Total energy in eV/cell: -23.1
Total moment in μB per cell: 0.00
Formation energy in eV per atom: 0.18
SG: P4mm (99)

Lattice parameters (Å, degrees): 3.345 3.345 7.617 90.00 90.00 90.00
Fractional positions:
Mo (0.000, 0.000, 0.000)
As (0.000, 0.000, 0.654)
As (0.500, 0.500, 0.870)
Pb (0.500, 0.500, 0.290)